The following is a DFT calculation (PBE) of an optimized crystal structure of MgSb2Pb.

Output
uncorrected formation energy: 67 meV/atom
energy relative to the lowest polymorph listed for this composition: 126 meV per atom

abc: 4.206 5.084 10.273
angles: 90.00 90.00 90.00
Sites, in units of the cell vectors:
Mg1 0.000 0.000 0.000
Mg2 0.500 0.500 0.000
Sb1 0.000 0.000 0.499
Sb2 0.000 0.500 0.791
Sb3 0.500 0.000 0.791
Sb4 0.500 0.500 0.499
Pb1 0.000 0.500 0.243
Pb2 0.500 0.000 0.243